No. 1
Density functional theory data (PBE) for TaSe2Cl after structural relaxation.

a = 3.279 Å, b = 3.279 Å, c = 7.369 Å
α = 90.00°, β = 90.00°, γ = 90.00°
Space group P4/mmm (No. 123)
Asymmetric unit:
Ta 0.000 0.000 0.000 x1
Se 0.500 0.500 0.203 x2
Cl 0.000 0.000 0.500 x1

No. 2
Density functional theory data (PBE) for TaSeCl2 after structural relaxation.

a = 3.098 Å, b = 4.598 Å, c = 14.721 Å
α = 90.00°, β = 90.00°, γ = 90.00°
Space group Immm (No. 71)
Asymmetric unit:
Ta 0.000 0.000 0.000 x2
Se 0.000 0.000 0.500 x2
Cl 0.000 0.500 0.362 x4

No. 3
Density functional theory data (PBE) for Ta2SeCl after structural relaxation.

a = 9.367 Å, b = 3.220 Å, c = 5.297 Å
α = 90.00°, β = 110.30°, γ = 90.00°
Space group Cm (No. 8)
Asymmetric unit:
Ta 0.000 0.000 0.000 x2
Ta 0.233 0.000 0.657 x2
Se 0.002 0.500 0.609 x2
Cl 0.214 0.500 0.259 x2

No. 4
Density functional theory data (PBE) for TaSe2Cl5 after structural relaxation.

a = 10.938 Å, b = 11.149 Å, c = 5.247 Å
α = 90.00°, β = 90.00°, γ = 90.00°
Space group Imm2 (No. 44)
Asymmetric unit:
Ta 0.000 0.000 0.000 x2
Se 0.000 0.500 0.153 x2
Se 0.000 0.500 0.728 x2
Cl 0.000 0.000 0.427 x2
Cl 0.147 0.145 0.916 x8

No. 5
Density functional theory data (PBE) for TaSeCl2 after structural relaxation.

a = 3.3966 Å, b = 3.3966 Å, c = 25.1424 Å
α = 90.00°, β = 90.00°, γ = 120.00°
Space group R3m (No. 160, hexagonal axes)
Asymmetric unit:
Ta 0.0000 0.0000 0.0000 x3
Se 0.0000 0.0000 0.2662 x3
Cl 0.0000 0.0000 0.5075 x3
Cl 0.0000 0.0000 0.7323 x3

No. 6
Density functional theory data (PBE) for TaSeCl after structural relaxation.

a = 11.914 Å, b = 3.285 Å, c = 7.674 Å
α = 90.00°, β = 99.19°, γ = 90.00°
Space group Cm (No. 8)
Asymmetric unit:
Ta 0.000 0.000 0.000 x2
Ta 0.204 0.500 0.053 x2
Se 0.139 0.000 0.288 x2
Se 0.384 0.000 0.190 x2
Cl 0.051 0.500 0.778 x2
Cl 0.312 0.500 0.794 x2

No. 7
Density functional theory data (PBE) for TaSeCl2 after structural relaxation.

a = 5.746 Å, b = 9.177 Å, c = 3.435 Å
α = 90.00°, β = 123.42°, γ = 90.00°
Space group C2/m (No. 12)
Asymmetric unit:
Ta 0.000 0.000 0.000 x2
Se 0.000 0.500 0.000 x2
Cl 0.250 0.250 0.500 x4

No. 8
Density functional theory data (PBE) for TaSeCl after structural relaxation.

a = 6.444 Å, b = 6.444 Å, c = 6.444 Å
α = 90.00°, β = 90.00°, γ = 90.00°
Space group F-43m (No. 216)
Asymmetric unit:
Ta 0.000 0.000 0.000 x4
Se 0.250 0.250 0.750 x4
Cl 0.000 0.000 0.500 x4

No. 9
Density functional theory data (PBE) for TaSe2Cl after structural relaxation.

a = 2.9107 Å, b = 2.9107 Å, c = 36.9263 Å
α = 90.00°, β = 90.00°, γ = 120.00°
Space group R-3m (No. 166, hexagonal axes)
Asymmetric unit:
Ta 0.0000 0.0000 0.0000 x3
Se 0.0000 0.0000 0.0716 x6
Cl 0.0000 0.0000 0.5000 x3

No. 10
Density functional theory data (PBE) for TaSeCl after structural relaxation.

a = 4.4684 Å, b = 4.4684 Å, c = 3.3651 Å
α = 90.00°, β = 90.00°, γ = 120.00°
Space group P3m1 (No. 156)
Asymmetric unit:
Ta 0.0000 0.0000 0.0000 x1
Se 0.3333 0.6667 0.8175 x1
Cl 0.6667 0.3333 0.2250 x1

No. 11
Density functional theory data (PBE) for TaSe2Cl after structural relaxation.

a = 13.355 Å, b = 3.122 Å, c = 7.212 Å
α = 90.00°, β = 121.22°, γ = 90.00°
Space group Cm (No. 8)
Asymmetric unit:
Ta 0.000 0.000 0.000 x2
Se 0.004 0.500 0.284 x2
Se 0.352 0.000 0.705 x2
Cl 0.148 0.500 0.012 x2

No. 12
Density functional theory data (PBE) for TaSeCl2 after structural relaxation.

a = 4.881 Å, b = 4.881 Å, c = 3.093 Å
α = 90.00°, β = 90.00°, γ = 90.00°
Space group P4/mmm (No. 123)
Asymmetric unit:
Ta 0.000 0.000 0.000 x1
Se 0.500 0.500 0.000 x1
Cl 0.000 0.500 0.500 x2

No. 13
Density functional theory data (PBE) for TaSe2Cl after structural relaxation.

a = 6.438 Å, b = 5.973 Å, c = 10.629 Å
α = 90.00°, β = 90.00°, γ = 90.00°
Space group Pnna (No. 52)
Asymmetric unit:
Ta 0.250 0.000 0.066 x4
Se 0.072 0.247 0.913 x8
Cl 0.114 0.250 0.250 x4

No. 14
Density functional theory data (PBE) for TaSeCl after structural relaxation.

a = 3.2993 Å, b = 3.2993 Å, c = 7.4099 Å
α = 90.00°, β = 90.00°, γ = 120.00°
Space group P3m1 (No. 156)
Asymmetric unit:
Ta 0.0000 0.0000 0.0000 x1
Se 0.3333 0.6667 0.7636 x1
Cl 0.6667 0.3333 0.2370 x1

Which E_tot belongs to each record? In order, -5.44 -5.36 -7.26 -4.32 -5.26 -6.59 -4.45 -5.07 -4.76 -5.82 -5.94 -4.07 -5.97 -6.52 eV per atom.
Which M_tot belongs to each record? In order, 0.00 0.00 0.00 0.00 0.01 0.00 0.15 0.67 0.00 0.00 0.00 0.00 0.00 0.00 μB/atom.
Which formation energy from raw total energies belongs to each record? In order, -0.269 -0.603 -0.002 -0.813 -0.506 -0.864 0.304 0.658 0.403 -0.089 -0.776 0.684 -0.803 -0.789 eV/atom.